# Dy4GaPb (PBE, optimized geometry)
# - E_tot: -4.430 eV/atom
# - DFT formation energy: -0.239 eV/atom
data_Dy4GaPb
_chemical_formula_sum 'Dy4 Ga1 Pb1'
_symmetry_space_group_name_H-M 'P 4/m m m'
_symmetry_Int_Tables_number 123
_symmetry_space_group_name_Hall '-P 4 2'
_cell_length_a 5.055
_cell_length_b 5.055
_cell_length_c 7.224
_cell_angle_alpha 90.00
_cell_angle_beta 90.00
_cell_angle_gamma 90.00
loop_
_atom_site_label
_atom_site_type_symbol
_atom_site_fract_x
_atom_site_fract_y
_atom_site_fract_z
Dy1 Dy 0.000 0.500 0.232
Ga1 Ga 0.000 0.000 0.000
Pb1 Pb 0.500 0.500 0.500

---

# Dy8Ga2Pb (PBE, optimized geometry)
# - E_tot: -4.532 eV/atom
# - DFT formation energy: -0.298 eV/atom
data_Dy8Ga2Pb
_chemical_formula_sum 'Dy16 Ga4 Pb2'
_symmetry_space_group_name_H-M 'C 1 2/m 1'
_symmetry_Int_Tables_number 12
_symmetry_space_group_name_Hall '-C 2y'
_cell_length_a 16.836
_cell_length_b 4.885
_cell_length_c 7.913
_cell_angle_alpha 90.00
_cell_angle_beta 111.31
_cell_angle_gamma 90.00
loop_
_atom_site_label
_atom_site_type_symbol
_atom_site_fract_x
_atom_site_fract_y
_atom_site_fract_z
Dy1 Dy 0.051 0.000 0.232
Dy2 Dy 0.102 0.500 0.961
Dy3 Dy 0.167 0.000 0.746
Dy4 Dy 0.179 0.500 0.447
Ga1 Ga 0.216 0.000 0.162
Pb1 Pb 0.000 0.500 0.500

---

# DyGaPb (PBE, optimized geometry)
# - E_tot: -4.139 eV/atom
# - DFT formation energy: -0.360 eV/atom
# - ΔE to the lowest computed polymorph: 0.07 eV/f.u.
data_DyGaPb
_chemical_formula_sum 'Dy1 Ga1 Pb1'
_symmetry_space_group_name_H-M 'P 3 m 1'
_symmetry_Int_Tables_number 156
_symmetry_space_group_name_Hall 'P 3 -2"'
_cell_length_a 4.4712
_cell_length_b 4.4712
_cell_length_c 4.4657
_cell_angle_alpha 90.00
_cell_angle_beta 90.00
_cell_angle_gamma 120.00
loop_
_atom_site_label
_atom_site_type_symbol
_atom_site_fract_x
_atom_site_fract_y
_atom_site_fract_z
Dy1 Dy 0.0000 0.0000 0.0000
Ga1 Ga 0.3333 0.6667 0.3082
Pb1 Pb 0.6667 0.3333 0.5720

---

# Dy2GaPb (PBE, optimized geometry)
# - E_tot: -4.479 eV/atom
# - DFT formation energy: -0.494 eV/atom
data_Dy2GaPb
_chemical_formula_sum 'Dy2 Ga1 Pb1'
_symmetry_space_group_name_H-M 'P 4/m m m'
_symmetry_Int_Tables_number 123
_symmetry_space_group_name_Hall '-P 4 2'
_cell_length_a 3.444
_cell_length_b 3.444
_cell_length_c 8.594
_cell_angle_alpha 90.00
_cell_angle_beta 90.00
_cell_angle_gamma 90.00
loop_
_atom_site_label
_atom_site_type_symbol
_atom_site_fract_x
_atom_site_fract_y
_atom_site_fract_z
Dy1 Dy 0.000 0.000 0.224
Ga1 Ga 0.500 0.500 0.000
Pb1 Pb 0.500 0.500 0.500

---

# Dy4Ga2Pb5 (PBE, optimized geometry)
# - E_tot: -4.315 eV/atom
# - DFT formation energy: -0.406 eV/atom
data_Dy4Ga2Pb5
_chemical_formula_sum 'Dy4 Ga2 Pb5'
_symmetry_space_group_name_H-M 'P 1 2/m 1'
_symmetry_Int_Tables_number 10
_symmetry_space_group_name_Hall '-P 2y'
_cell_length_a 8.360
_cell_length_b 3.544
_cell_length_c 10.098
_cell_angle_alpha 90.00
_cell_angle_beta 97.35
_cell_angle_gamma 90.00
loop_
_atom_site_label
_atom_site_type_symbol
_atom_site_fract_x
_atom_site_fract_y
_atom_site_fract_z
Dy1 Dy 0.191 0.000 0.358
Dy2 Dy 0.227 0.000 0.922
Ga1 Ga 0.078 0.500 0.123
Pb1 Pb 0.159 0.500 0.639
Pb2 Pb 0.449 0.500 0.168
Pb3 Pb 0.500 0.500 0.500

---

# DyGaPb (PBE, optimized geometry)
# - E_tot: -4.029 eV/atom
# - DFT formation energy: -0.250 eV/atom
# - ΔE to the lowest computed polymorph: 0.40 eV/f.u.
data_DyGaPb
_chemical_formula_sum 'Dy2 Ga2 Pb2'
_symmetry_space_group_name_H-M 'I 4 m m'
_symmetry_Int_Tables_number 107
_symmetry_space_group_name_Hall 'I 4 -2'
_cell_length_a 3.657
_cell_length_b 3.657
_cell_length_c 11.354
_cell_angle_alpha 90.00
_cell_angle_beta 90.00
_cell_angle_gamma 90.00
loop_
_atom_site_label
_atom_site_type_symbol
_atom_site_fract_x
_atom_site_fract_y
_atom_site_fract_z
Dy1 Dy 0.000 0.000 0.000
Ga1 Ga 0.000 0.000 0.346
Pb1 Pb 0.000 0.000 0.700